Computed, not measured: a relaxed structure of NaBeB at the PBE-GGA level of DFT. Values from VASP.

Formation enthalpy at 0 K (meV/atom): 224
Space-group type: P-1

Quantum ESPRESSO input file:
```
&SYSTEM
  ibrav = 0, nat = 6, ntyp = 3
/
ATOMIC_SPECIES
Na 22.99 Na.upf
Be 9.01 Be.upf
B 10.81 B.upf
ATOMIC_POSITIONS crystal
Na 0.215 0.313 0.305
Na 0.785 0.687 0.695
Be 0.376 0.296 0.947
Be 0.624 0.704 0.053
B 0.093 0.874 0.928
B 0.907 0.126 0.072
CELL_PARAMETERS angstrom
3.217 0.000 0.000
1.604 3.350 0.000
1.352 1.225 8.615
```